NaAcNd2: relaxed, GGA-PBE.

Unit cell a=3.713 b=3.713 c=13.432 alpha=82.06 beta=82.06 gamma=60.00
Element x y z (fractional)
Nd (0.909, 0.909, 0.272)
Na (0.000, 0.000, 0.000)
Ac (0.500, 0.500, 0.500)
Nd (0.091, 0.091, 0.728)

Properties
* D(E_F): 1.361 states/eV per atom
* excess energy over the best structure of this formula in the dataset: 0.047 eV per atom
* formation energy: 0.1787 eV/atom